Entry 1:
Here is crystalline ErFe5Ge3 at its relaxed geometry from Alexandria. Energies are from PBE.

extended XYZ file:
```
18
Lattice="1.9981 -5.9479 0.0000 1.9981 5.9479 0.0000 0.0000 0.0000 11.1991" Properties=species:S:1:pos:R:3 pbc="T T T"
Er 1.9981 3.9718 8.3993
Er 1.9981 -3.9718 2.7998
Fe 0.0000 0.0000 0.0000
Fe 0.0000 0.0000 5.5995
Fe 1.9981 3.6009 0.4563
Fe 1.9981 3.6009 5.1432
Fe 1.9981 1.0757 7.1538
Fe 1.9981 1.0757 9.6448
Fe 1.9981 -1.0757 1.5543
Fe 1.9981 -1.0757 4.0453
Fe 1.9981 -3.6009 6.0559
Fe 1.9981 -3.6009 10.7428
Ge 1.9981 4.4377 2.7998
Ge 1.9981 1.2578 0.8480
Ge 1.9981 1.2578 4.7516
Ge 1.9981 -1.2578 6.4475
Ge 1.9981 -1.2578 10.3511
Ge 1.9981 -4.4377 8.3993
```

Output
raw total energy	-6.98	eV/atom
volume	14.8	A^3/atom
DOS(E_F)	13.2	states/eV/cell
symmetry	Cmcm (63)

Entry 2:
Here is crystalline KCu2Cl5 at its relaxed geometry from Alexandria. Energies are from PBE.

extended XYZ file:
```
16
Lattice="4.6499 0.0000 0.0000 0.0000 4.6499 0.0000 0.0000 0.0000 18.6388" Properties=species:S:1:pos:R:3 pbc="T T T"
K 0.0000 0.0000 0.0000
K 2.3249 2.3249 9.3194
Cu 0.0000 0.0000 6.8715
Cu 0.0000 0.0000 11.7673
Cu 2.3249 2.3249 2.4479
Cu 2.3249 2.3249 16.1909
Cl 0.0000 0.0000 9.3194
Cl 0.0000 2.3249 2.6370
Cl 0.0000 2.3249 6.6824
Cl 0.0000 2.3249 11.9564
Cl 0.0000 2.3249 16.0018
Cl 2.3249 0.0000 2.6370
Cl 2.3249 0.0000 6.6824
Cl 2.3249 0.0000 11.9564
Cl 2.3249 0.0000 16.0018
Cl 2.3249 2.3249 0.0000
```

Output
raw total energy	-3.09	eV/atom
volume	25.2	A^3/atom
DOS(E_F)	12.8	states/eV/cell
symmetry	I4/mmm (139)
formation energy without anion corrections	-6.2	eV/f.u.

Entry 3:
Here is crystalline CoTeAs2 at its relaxed geometry from Alexandria. Energies are from PBE.

extended XYZ file:
```
4
Lattice="3.7877 0.0000 0.0000 0.0000 3.7877 0.0000 0.0000 0.0000 5.5001" Properties=species:S:1:pos:R:3 pbc="T T T"
Co 0.0000 0.0000 0.0000
Te 1.8938 1.8938 0.0000
As 0.0000 1.8938 2.7500
As 1.8938 0.0000 2.7500
```

Output
raw total energy	-4.32	eV/atom
volume	19.7	A^3/atom
DOS(E_F)	4.6	states/eV/cell
symmetry	P4/mmm (123)
formation energy without anion corrections	2.3	eV/f.u.

Entry 4:
Here is crystalline Tb3TlFe at its relaxed geometry from Alexandria. Energies are from PBE.

extended XYZ file:
```
5
Lattice="5.1496 0.0000 0.0000 0.0000 5.1496 0.0000 0.0000 0.0000 5.1496" Properties=species:S:1:pos:R:3 pbc="T T T"
Tb 0.0000 0.0000 2.5748
Tb 0.0000 2.5748 0.0000
Tb 2.5748 0.0000 0.0000
Tl 2.5748 2.5748 2.5748
Fe 0.0000 0.0000 0.0000
```

Output
raw total energy	-4.96	eV/atom
excess energy over the best structure of this formula in the dataset	0.1459	eV per atom
volume	27.3	A^3/atom
DOS(E_F)	5.5	states/eV/cell
symmetry	Pm-3m (221)

Entry 5:
Here is crystalline KBa2W at its relaxed geometry from Alexandria. Energies are from PBE.

extended XYZ file:
```
16
Lattice="9.1507 0.0000 0.0000 0.0000 9.1507 0.0000 0.0000 0.0000 12.6830" Properties=species:S:1:pos:R:3 pbc="T T T"
K 0.0000 0.0000 0.0000
K 0.0000 4.5753 3.1708
K 4.5753 0.0000 9.5123
K 4.5753 4.5753 6.3415
Ba 0.2023 2.2877 7.9269
Ba 2.2877 4.7777 11.0977
Ba 2.2877 8.9483 4.7561
Ba 4.3730 2.2877 1.5854
Ba 4.7777 6.8630 1.5854
Ba 6.8630 0.2023 4.7561
Ba 6.8630 4.3730 11.0977
Ba 8.9483 6.8630 7.9269
W 0.0000 0.0000 6.3415
W 0.0000 4.5753 9.5123
W 4.5753 0.0000 3.1708
W 4.5753 4.5753 0.0000
```

Output
raw total energy	-3.03	eV/atom
excess energy over the best structure of this formula in the dataset	0.4442	eV per atom
volume	66.4	A^3/atom
DOS(E_F)	20.4	states/eV/cell
symmetry	I-42d (122)

Entry 6:
Here is crystalline CuSi2Ni at its relaxed geometry from Alexandria. Energies are from PBE.

extended XYZ file:
```
4
Lattice="4.1327 0.0000 0.0000 0.0000 2.7906 0.0000 -1.8188 0.0000 4.2499" Properties=species:S:1:pos:R:3 pbc="T T T"
Cu 0.0000 0.0000 0.0000
Si 1.1570 0.0000 2.1249
Si 2.0664 1.3953 0.0000
Ni -0.9094 1.3953 2.1249
```

Output
raw total energy	-5.28	eV/atom
volume	12.3	A^3/atom
DOS(E_F)	2.0	states/eV/cell
symmetry	P2/m (10)
formation energy without anion corrections	-0.4	eV/f.u.

Entry 7:
Here is crystalline PmNdDy2Tm4 at its relaxed geometry from Alexandria. Energies are from PBE.

extended XYZ file:
```
16
Lattice="-3.3870 5.8667 6.6116 3.3870 -5.8667 6.6116 3.3870 5.8667 -6.6116" Properties=species:S:1:pos:R:3 pbc="T T T"
Pm 0.0000 0.0000 0.0000
Pm 0.0000 5.8667 0.0000
Nd -1.6935 2.9333 3.3058
Nd 1.6935 2.9333 3.3058
Dy 1.6935 2.9333 -3.3058
Dy 1.6935 -2.9333 3.3058
Dy 3.3870 0.0000 0.0000
Dy 0.0000 0.0000 6.6116
Tm 3.3870 -0.0337 3.2908
Tm 1.6984 2.9333 -0.0327
Tm 3.3870 5.8330 -3.2908
Tm 5.0756 2.9333 -0.0327
Tm -1.6886 2.9333 6.6443
Tm 0.0000 0.0337 9.9023
Tm 1.6886 2.9333 6.6443
Tm 0.0000 5.9004 3.3208
```

Output
raw total energy	-4.14	eV/atom
volume	32.8	A^3/atom
DOS(E_F)	35.3	states/eV/cell
symmetry	Imma (74)

Entry 8:
Here is crystalline MgTl2Pt2 at its relaxed geometry from Alexandria. Energies are from PBE.

extended XYZ file:
```
10
Lattice="7.2075 0.0000 0.0000 0.0000 7.2075 0.0000 0.0000 0.0000 3.9494" Properties=species:S:1:pos:R:3 pbc="T T T"
Mg 0.0000 0.0000 0.0000
Mg 3.6038 3.6038 0.0000
Tl 1.1864 2.4173 1.9747
Tl 2.4173 6.0211 1.9747
Tl 4.7902 1.1864 1.9747
Tl 6.0211 4.7902 1.9747
Pt 1.0097 4.6135 0.0000
Pt 2.5941 1.0097 0.0000
Pt 4.6135 6.1978 0.0000
Pt 6.1978 2.5941 0.0000
```

Output
raw total energy	-3.88	eV/atom
volume	20.5	A^3/atom
DOS(E_F)	4.6	states/eV/cell
symmetry	P4/mbm (127)